# Cu2NiHgN

A geometry-optimized Cu2NiHgN structure (GGA-PBE, Alexandria via LeMat-Bulk).

Geometry as CIF:
```
data_Cu2NiHgN
_space_group_name_H-M_alt 'P 4/m m m'
_space_group_IT_number 123
_space_group_name_Hall '-P 4 2'
_cell_length_a 4.009
_cell_length_b 4.009
_cell_length_c 3.871
_cell_angle_alpha 90.00
_cell_angle_beta 90.00
_cell_angle_gamma 90.00
loop_
_atom_site_label
_atom_site_type_symbol
_atom_site_fract_x
_atom_site_fract_y
_atom_site_fract_z
Cu1 Cu 0.000 0.500 0.000
Ni1 Ni 0.000 0.000 0.500
Hg1 Hg 0.500 0.500 0.500
N1 N 0.000 0.000 0.000
```

Summary:
Size of the total moment, μB/atom: 0.000
Volume, Å³/f.u.: 62
Formation energy from raw total energies, eV per atom: 0.23
N(E_F), states/eV/cell: 2.6
Theoretical density, Mg/m³: 10.69


# K3Ac3RuO8

A geometry-optimized K3Ac3RuO8 structure (GGA-PBE, Alexandria via LeMat-Bulk).

Geometry as CIF:
```
data_K3Ac3RuO8
_space_group_name_H-M_alt 'R -3 m'
_space_group_IT_number 166
_space_group_name_Hall '-R 3 2"'
_cell_length_a 7.3563
_cell_length_b 7.3563
_cell_length_c 18.9401
_cell_angle_alpha 90.00
_cell_angle_beta 90.00
_cell_angle_gamma 120.00
loop_
_atom_site_label
_atom_site_type_symbol
_atom_site_fract_x
_atom_site_fract_y
_atom_site_fract_z
K1 K 0.0000 0.5000 0.0000
Ac1 Ac 0.0000 0.5000 0.5000
Ru1 Ru 0.0000 0.0000 0.5000
O1 O 0.0000 0.0000 0.2339
O2 O 0.0476 0.5238 0.2248
```

Summary:
Size of the total moment, μB/atom: 0.133
Volume, Å³/f.u.: 296
Formation energy from raw total energies, eV per atom: -2.18
N(E_F), states/eV/cell: 17.5
Theoretical density, Mg/m³: 5.77


# LuAl10Os2

A geometry-optimized LuAl10Os2 structure (GGA-PBE, Alexandria via LeMat-Bulk).

Geometry as CIF:
```
data_LuAl10Os2
_space_group_name_H-M_alt 'C m c m'
_space_group_IT_number 63
_space_group_name_Hall '-C 2c 2'
_cell_length_a 9.109
_cell_length_b 10.197
_cell_length_c 9.126
_cell_angle_alpha 90.00
_cell_angle_beta 90.00
_cell_angle_gamma 90.00
loop_
_atom_site_label
_atom_site_type_symbol
_atom_site_fract_x
_atom_site_fract_y
_atom_site_fract_z
Lu1 Lu 0.000 0.131 0.250
Al1 Al 0.000 0.154 0.601
Al2 Al 0.000 0.376 0.046
Al3 Al 0.152 0.368 0.750
Al4 Al 0.217 0.366 0.250
Al5 Al 0.223 0.000 0.000
Os1 Os 0.250 0.250 0.000
```

Summary:
Size of the total moment, μB/atom: 0.000
Volume, Å³/f.u.: 212
N(E_F), states/eV/cell: 12.3
Theoretical density, Mg/m³: 6.47
Energy of formation from the pure elements, meV per atom: -446


# Cs2TlAsSe4

A geometry-optimized Cs2TlAsSe4 structure (GGA-PBE, Alexandria via LeMat-Bulk).

Geometry as CIF:
```
data_Cs2TlAsSe4
_space_group_name_H-M_alt 'F d d d'
_space_group_IT_number 70
_cell_length_a 6.637
_cell_length_b 15.209
_cell_length_c 25.135
_cell_angle_alpha 90.00
_cell_angle_beta 90.00
_cell_angle_gamma 90.00
loop_
_space_group_symop_operation_xyz
'x,y,z'
'-x,-y,-z'
'-x+1/4,-y+1/4,z'
'x+1/4,y+1/4,-z'
'x,-y+1/4,-z+1/4'
'-x,y+1/4,z+1/4'
'-x+1/4,y,-z+1/4'
'x+1/4,-y,z+1/4'
'x,y+1/2,z+1/2'
'-x,-y+1/2,-z+1/2'
'-x+1/4,-y+3/4,z+1/2'
'x+1/4,y+3/4,-z+1/2'
'x,-y+3/4,-z+3/4'
'-x,y+3/4,z+3/4'
'-x+1/4,y+1/2,-z+3/4'
'x+1/4,-y+1/2,z+3/4'
'x+1/2,y,z+1/2'
'-x+1/2,-y,-z+1/2'
'-x+3/4,-y+1/4,z+1/2'
'x+3/4,y+1/4,-z+1/2'
'x+1/2,-y+1/4,-z+3/4'
'-x+1/2,y+1/4,z+3/4'
'-x+3/4,y,-z+3/4'
'x+3/4,-y,z+3/4'
'x+1/2,y+1/2,z'
'-x+1/2,-y+1/2,-z'
'-x+3/4,-y+3/4,z'
'x+3/4,y+3/4,-z'
'x+1/2,-y+3/4,-z+1/4'
'-x+1/2,y+3/4,z+1/4'
'-x+3/4,y+1/2,-z+1/4'
'x+3/4,-y+1/2,z+1/4'
loop_
_atom_site_label
_atom_site_type_symbol
_atom_site_fract_x
_atom_site_fract_y
_atom_site_fract_z
Cs1 Cs 0.125 0.125 0.306
Tl1 Tl 0.125 0.125 0.125
As1 As 0.125 0.125 0.625
Se1 Se 0.115 0.275 0.818
```

Summary:
Size of the total moment, μB/atom: 0.000
Volume, Å³/f.u.: 317
Formation energy from raw total energies, eV per atom: -0.58
Theoretical density, Mg/m³: 4.51